<1>
# SrZnTc3 PBE-GGA optimized geometry
data_SrZnTc3
_cell_length_a 4.806
_cell_length_b 4.806
_cell_length_c 4.806
_cell_angle_alpha 90.00
_cell_angle_beta 90.00
_cell_angle_gamma 90.00
_space_group_name_H-M_alt 'P m -3 m'
_space_group_IT_number 221
_space_group_name_Hall '-P 4 2 3'
loop_
_atom_site_label
_atom_site_fract_x
_atom_site_fract_y
_atom_site_fract_z
Sr1 0.000 0.000 0.000
Zn1 0.500 0.500 0.500
Tc1 0.000 0.000 0.500
# **Magnetic moment**: 3.487 μB per formula unit
# **Volume**: 22.20 Å³ per atom
# **Crystal system**: cubic

---

<2>
# SrZnTc3 PBE-GGA optimized geometry
data_SrZnTc3
_cell_length_a 4.725
_cell_length_b 4.725
_cell_length_c 4.725
_cell_angle_alpha 90.00
_cell_angle_beta 90.00
_cell_angle_gamma 90.00
_space_group_name_H-M_alt 'P m -3 m'
_space_group_IT_number 221
_space_group_name_Hall '-P 4 2 3'
loop_
_atom_site_label
_atom_site_fract_x
_atom_site_fract_y
_atom_site_fract_z
Sr1 0.000 0.000 0.000
Zn1 0.500 0.500 0.500
Tc1 0.000 0.500 0.500
# **Magnetic moment**: 3.625 μB per formula unit
# **Volume**: 21.10 Å³ per atom
# **Crystal system**: cubic

---

Relative energies, kJ/mol of atoms: <1> 139.1; <2> 0.0.

---

<1>
# SrZr2Tc PBE-GGA optimized geometry
data_SrZr2Tc
_cell_length_a 3.509
_cell_length_b 5.302
_cell_length_c 10.281
_cell_angle_alpha 90.00
_cell_angle_beta 90.00
_cell_angle_gamma 90.00
_space_group_name_H-M_alt 'C m m 2'
_space_group_IT_number 35
_space_group_name_Hall 'C 2 -2'
loop_
_atom_site_label
_atom_site_fract_x
_atom_site_fract_y
_atom_site_fract_z
Sr1 0.000 0.000 0.000
Zr1 0.000 0.000 0.426
Zr2 0.000 0.500 0.679
Tc1 0.000 0.500 0.240
# **Magnetic moment**: 0.000 μB per formula unit
# **Volume**: 23.91 Å³ per atom
# **Crystal system**: orthorhombic

---

<2>
# SrZr2Tc PBE-GGA optimized geometry
data_SrZr2Tc
_cell_length_a 3.660
_cell_length_b 4.834
_cell_length_c 5.120
_cell_angle_alpha 90.00
_cell_angle_beta 90.00
_cell_angle_gamma 90.00
_space_group_name_H-M_alt 'P m m m'
_space_group_IT_number 47
_space_group_name_Hall '-P 2 2'
loop_
_atom_site_label
_atom_site_fract_x
_atom_site_fract_y
_atom_site_fract_z
Sr1 0.000 0.000 0.000
Zr1 0.000 0.500 0.500
Zr2 0.500 0.500 0.000
Tc1 0.500 0.000 0.500
# **Magnetic moment**: 0.082 μB per formula unit
# **Volume**: 22.64 Å³ per atom
# **Crystal system**: orthorhombic

---

<3>
# SrZr2Tc PBE-GGA optimized geometry
data_SrZr2Tc
_cell_length_a 3.467
_cell_length_b 3.467
_cell_length_c 8.300
_cell_angle_alpha 90.00
_cell_angle_beta 90.00
_cell_angle_gamma 90.00
_space_group_name_H-M_alt 'P 4 m m'
_space_group_IT_number 99
_space_group_name_Hall 'P 4 -2'
loop_
_atom_site_label
_atom_site_fract_x
_atom_site_fract_y
_atom_site_fract_z
Sr1 0.000 0.000 0.000
Zr1 0.000 0.000 0.419
Zr2 0.500 0.500 0.640
Tc1 0.500 0.500 0.269
# **Magnetic moment**: 0.000 μB per formula unit
# **Volume**: 24.94 Å³ per atom
# **Crystal system**: tetragonal

---

<4>
# SrZr2Tc PBE-GGA optimized geometry
data_SrZr2Tc
_cell_length_a 3.487
_cell_length_b 4.909
_cell_length_c 11.568
_cell_angle_alpha 90.00
_cell_angle_beta 90.00
_cell_angle_gamma 90.00
_space_group_name_H-M_alt 'I m m 2'
_space_group_IT_number 44
_space_group_name_Hall 'I 2 -2'
loop_
_atom_site_label
_atom_site_fract_x
_atom_site_fract_y
_atom_site_fract_z
Sr1 0.000 0.000 0.000
Zr1 0.000 0.000 0.392
Zr2 0.000 0.500 0.214
Tc1 0.000 0.500 0.729
# **Magnetic moment**: 0.000 μB per formula unit
# **Volume**: 24.75 Å³ per atom
# **Crystal system**: orthorhombic

---

Relative energies, kJ/mol of atoms: <1> 17.6; <2> 45.2; <3> 0.0; <4> 7.8.

---

<1>
# SrZr2Tc PBE-GGA optimized geometry
data_SrZr2Tc
_cell_length_a 7.586
_cell_length_b 4.407
_cell_length_c 7.057
_cell_angle_alpha 90.00
_cell_angle_beta 111.30
_cell_angle_gamma 90.00
_space_group_name_H-M_alt 'C 1 2/m 1'
_space_group_IT_number 12
_space_group_name_Hall '-C 2y'
loop_
_atom_site_label
_atom_site_fract_x
_atom_site_fract_y
_atom_site_fract_z
Sr1 0.000 0.000 0.000
Zr1 0.214 0.000 0.641
Tc1 0.000 0.500 0.500
# **Magnetic moment**: 0.000 μB per formula unit
# **Volume**: 27.48 Å³ per atom
# **Crystal system**: monoclinic

---

<2>
# SrZr2Tc PBE-GGA optimized geometry
data_SrZr2Tc
_cell_length_a 5.835
_cell_length_b 2.960
_cell_length_c 5.955
_cell_angle_alpha 90.00
_cell_angle_beta 118.66
_cell_angle_gamma 90.00
_space_group_name_H-M_alt 'P 1 2/m 1'
_space_group_IT_number 10
_space_group_name_Hall '-P 2y'
loop_
_atom_site_label
_atom_site_fract_x
_atom_site_fract_y
_atom_site_fract_z
Sr1 0.000 0.000 0.000
Zr1 0.000 0.500 0.500
Zr2 0.500 0.000 0.500
Tc1 0.500 0.500 0.000
# **Magnetic moment**: 0.000 μB per formula unit
# **Volume**: 22.57 Å³ per atom
# **Crystal system**: monoclinic

---

<3>
# SrZr2Tc PBE-GGA optimized geometry
data_SrZr2Tc
_cell_length_a 6.352
_cell_length_b 10.423
_cell_length_c 3.029
_cell_angle_alpha 90.00
_cell_angle_beta 115.94
_cell_angle_gamma 90.00
_space_group_name_H-M_alt 'C 1 2/m 1'
_space_group_IT_number 12
_space_group_name_Hall '-C 2y'
loop_
_atom_site_label
_atom_site_fract_x
_atom_site_fract_y
_atom_site_fract_z
Sr1 0.000 0.000 0.000
Zr1 0.250 0.250 0.500
Tc1 0.000 0.500 0.000
# **Magnetic moment**: 0.000 μB per formula unit
# **Volume**: 22.54 Å³ per atom
# **Crystal system**: monoclinic

---

Relative energies, kJ/mol of atoms: <1> 0.0; <2> 38.9; <3> 36.9.

---

<1>
# SrZr2Tc PBE-GGA optimized geometry
data_SrZr2Tc
_cell_length_a 3.327
_cell_length_b 3.327
_cell_length_c 9.318
_cell_angle_alpha 90.00
_cell_angle_beta 90.08
_cell_angle_gamma 90.00
_space_group_name_H-M_alt 'P 1 2/m 1'
_space_group_IT_number 10
_space_group_name_Hall '-P 2y'
loop_
_atom_site_label
_atom_site_fract_x
_atom_site_fract_y
_atom_site_fract_z
Sr1 0.000 0.000 0.000
Zr1 0.500 0.500 0.334
Tc1 0.000 0.000 0.500
# **Magnetic moment**: 0.000 μB per formula unit
# **Volume**: 25.79 Å³ per atom
# **Crystal system**: monoclinic

---

<2>
# SrZr2Tc PBE-GGA optimized geometry
data_SrZr2Tc
_cell_length_a 5.589
_cell_length_b 5.589
_cell_length_c 17.194
_cell_angle_alpha 90.00
_cell_angle_beta 90.00
_cell_angle_gamma 90.00
_space_group_name_H-M_alt 'I 41/a m d'
_space_group_IT_number 141
loop_
_space_group_symop_operation_xyz
'x,y,z'
'-x,-y,-z'
'-y+1/4,x+3/4,z+1/4'
'y+1/4,-x+3/4,-z+1/4'
'-x+1/2,-y,z+1/2'
'x+1/2,y,-z+1/2'
'y+1/4,-x+1/4,z+3/4'
'-y+1/4,x+1/4,-z+3/4'
'x,-y,-z'
'-x,y,z'
'-y+1/4,-x+1/4,-z+3/4'
'y+1/4,x+1/4,z+3/4'
'-x+1/2,y,-z+1/2'
'x+1/2,-y,z+1/2'
'y+1/4,x+3/4,-z+1/4'
'-y+1/4,-x+3/4,z+1/4'
'x+1/2,y+1/2,z+1/2'
'-x+1/2,-y+1/2,-z+1/2'
'-y+3/4,x+1/4,z+3/4'
'y+3/4,-x+1/4,-z+3/4'
'-x,-y+1/2,z'
'x,y+1/2,-z'
'y+3/4,-x+3/4,z+1/4'
'-y+3/4,x+3/4,-z+1/4'
'x+1/2,-y+1/2,-z+1/2'
'-x+1/2,y+1/2,z+1/2'
'-y+3/4,-x+3/4,-z+1/4'
'y+3/4,x+3/4,z+1/4'
'-x,y+1/2,-z'
'x,-y+1/2,z'
'y+3/4,x+1/4,-z+3/4'
'-y+3/4,-x+1/4,z+3/4'
loop_
_atom_site_label
_atom_site_fract_x
_atom_site_fract_y
_atom_site_fract_z
Sr1 0.000 0.250 0.375
Zr1 0.000 0.000 0.000
Tc1 0.000 0.250 0.875
# **Magnetic moment**: 0.000 μB per formula unit
# **Volume**: 33.57 Å³ per atom
# **Crystal system**: tetragonal

---

<3>
# SrZr2Tc PBE-GGA optimized geometry
data_SrZr2Tc
_cell_length_a 3.465
_cell_length_b 5.664
_cell_length_c 10.114
_cell_angle_alpha 90.00
_cell_angle_beta 90.00
_cell_angle_gamma 90.00
_space_group_name_H-M_alt 'I m m m'
_space_group_IT_number 71
_space_group_name_Hall '-I 2 2'
loop_
_atom_site_label
_atom_site_fract_x
_atom_site_fract_y
_atom_site_fract_z
Sr1 0.000 0.000 0.000
Zr1 0.000 0.500 0.198
Tc1 0.000 0.000 0.500
# **Magnetic moment**: 0.000 μB per formula unit
# **Volume**: 24.82 Å³ per atom
# **Crystal system**: orthorhombic

---

Relative energies, kJ/mol of atoms: <1> 0.0; <2> 90.8; <3> 19.9.

---

<1>
# SrZr2Tc PBE-GGA optimized geometry
data_SrZr2Tc
_cell_length_a 3.4164
_cell_length_b 3.4164
_cell_length_c 30.2963
_cell_angle_alpha 90.00
_cell_angle_beta 90.00
_cell_angle_gamma 120.00
_space_group_name_H-M_alt 'R -3 m'
_space_group_IT_number 166
_space_group_name_Hall '-R 3 2"'
loop_
_atom_site_label
_atom_site_fract_x
_atom_site_fract_y
_atom_site_fract_z
Sr1 0.0000 0.0000 0.0000
Zr1 0.0000 0.0000 0.2283
Tc1 0.0000 0.0000 0.5000
# **Magnetic moment**: 0.000 μB per formula unit
# **Volume**: 25.52 Å³ per atom
# **Crystal system**: trigonal

---

<2>
# SrZr2Tc PBE-GGA optimized geometry
data_SrZr2Tc
_cell_length_a 7.079
_cell_length_b 7.079
_cell_length_c 7.079
_cell_angle_alpha 90.00
_cell_angle_beta 90.00
_cell_angle_gamma 90.00
_space_group_name_H-M_alt 'F m -3 m'
_space_group_IT_number 225
_space_group_name_Hall '-F 4 2 3'
loop_
_atom_site_label
_atom_site_fract_x
_atom_site_fract_y
_atom_site_fract_z
Sr1 0.000 0.000 0.000
Zr1 0.250 0.250 0.250
Tc1 0.000 0.000 0.500
# **Magnetic moment**: 0.000 μB per formula unit
# **Volume**: 22.17 Å³ per atom
# **Crystal system**: cubic

---

<3>
# SrZr2Tc PBE-GGA optimized geometry
data_SrZr2Tc
_cell_length_a 4.277
_cell_length_b 4.277
_cell_length_c 9.894
_cell_angle_alpha 90.00
_cell_angle_beta 90.00
_cell_angle_gamma 90.00
_space_group_name_H-M_alt 'I -4 m 2'
_space_group_IT_number 119
_space_group_name_Hall 'I -4 -2'
loop_
_atom_site_label
_atom_site_fract_x
_atom_site_fract_y
_atom_site_fract_z
Sr1 0.000 0.000 0.000
Zr1 0.000 0.000 0.500
Zr2 0.000 0.500 0.250
Tc1 0.000 0.500 0.750
# **Magnetic moment**: 0.000 μB per formula unit
# **Volume**: 22.62 Å³ per atom
# **Crystal system**: tetragonal

---

Relative energies, kJ/mol of atoms: <1> 0.0; <2> 18.4; <3> 37.6.